1.
Below is an optimized crystal structure of SmNi3Rh2, with properties calculated at the GGA-PBE level.

abc: 6.166 6.166 5.114
angles: 90.00 90.00 83.55
Atoms (fractional coordinates):
Sm (0.199, 0.801, 0.750)
Sm (0.801, 0.199, 0.250)
Ni (0.052, 0.578, 0.250)
Ni (0.422, 0.948, 0.250)
Ni (0.445, 0.555, 0.250)
Ni (0.555, 0.445, 0.750)
Ni (0.578, 0.052, 0.750)
Ni (0.948, 0.422, 0.750)
Rh (0.271, 0.271, 0.000)
Rh (0.271, 0.271, 0.500)
Rh (0.729, 0.729, 0.000)
Rh (0.729, 0.729, 0.500)

Summary:
calculated volume	16.102	Å³/atom
density	9.1	g cm⁻³
ΔE_f	-0.20	eV/atom

2.
Below is an optimized crystal structure of Ga3ReAs, with properties calculated at the GGA-PBE level.

abc: 4.884 4.884 4.884
angles: 90.00 90.00 90.00
Atoms (fractional coordinates):
Ga (0.000, 0.000, 0.500)
Ga (0.000, 0.500, 0.000)
Ga (0.500, 0.000, 0.000)
Re (0.000, 0.000, 0.000)
As (0.500, 0.500, 0.500)

Summary:
calculated volume	23.305	Å³/atom
excess energy over the best structure of this formula in the dataset	0.0	meV/atom
density	6.7	g cm⁻³
ΔE_f	0.64	eV/atom

3.
Below is an optimized crystal structure of MgCdSnHg, with properties calculated at the GGA-PBE level.

abc: 4.369 4.740 9.144
angles: 90.00 90.00 90.00
Atoms (fractional coordinates):
Mg (0.000, 0.000, 0.000)
Mg (0.500, 0.500, 0.500)
Cd (0.000, 0.500, 0.752)
Cd (0.500, 0.000, 0.252)
Sn (0.000, 0.000, 0.507)
Sn (0.500, 0.500, 0.007)
Hg (0.000, 0.500, 0.259)
Hg (0.500, 0.000, 0.759)

Summary:
calculated volume	23.671	Å³/atom
excess energy over the best structure of this formula in the dataset	0.0	meV/atom
density	8.0	g cm⁻³
ΔE_f	-0.05	eV/atom